Below is a geometry-optimized Sc2CuSi4Ni3 structure, with properties calculated at the PBE level.

a b c (Å): 3.8299 3.8299 9.6115
angles (deg): 90.00 90.00 90.00
Atoms (fractional coordinates):
Sc 0.0000 0.5000 0.2488
Sc 0.5000 0.0000 0.7512
Cu 0.0000 0.0000 0.5000
Si 0.0000 0.0000 0.0000
Si 0.0000 0.5000 0.6398
Si 0.5000 0.0000 0.3602
Si 0.5000 0.5000 0.0000
Ni 0.0000 0.5000 0.8715
Ni 0.5000 0.0000 0.1285
Ni 0.5000 0.5000 0.5000

Values from the calculation:
Its uncorrected energy is -6.296 eV/atom. The raw formation energy is -69 kJ per mole of atoms. As for the density of states at the Fermi level: 3.32 states/eV/f.u. The calculation puts the size of the total moment at 0.0 μB per cell.

Below is a geometry-optimized Sc2Cu2SiNi5 structure, with properties calculated at the PBE level.

a b c (Å): 8.7283 8.7283 3.4836
angles (deg): 90.00 90.00 90.00
Atoms (fractional coordinates):
Sc 0.1734 0.3266 0.0000
Sc 0.3266 0.8266 0.0000
Sc 0.6734 0.1734 0.0000
Sc 0.8266 0.6734 0.0000
Cu 0.1248 0.6248 0.0000
Cu 0.3752 0.1248 0.0000
Cu 0.6248 0.8752 0.0000
Cu 0.8752 0.3752 0.0000
Si 0.0000 0.0000 0.0000
Si 0.5000 0.5000 0.0000
Ni 0.0000 0.5000 0.5000
Ni 0.0603 0.8043 0.5000
Ni 0.1957 0.0603 0.5000
Ni 0.3043 0.5603 0.5000
Ni 0.4397 0.3043 0.5000
Ni 0.5000 0.0000 0.5000
Ni 0.5603 0.6957 0.5000
Ni 0.6957 0.4397 0.5000
Ni 0.8043 0.9397 0.5000
Ni 0.9397 0.1957 0.5000

Values from the calculation:
Its uncorrected energy is -5.865 eV/atom. The raw formation energy is -33 kJ per mole of atoms. As for the density of states at the Fermi level: 4.88 states/eV/f.u. The calculation puts the size of the total moment at 0.0 μB per cell.

Below is a geometry-optimized SmScCuNi structure, with properties calculated at the PBE level.

a b c (Å): 6.7290 6.7290 6.7290
angles (deg): 90.00 90.00 90.00
Atoms (fractional coordinates):
Sm 0.0000 0.0000 0.0000
Sm 0.0000 0.5000 0.5000
Sm 0.5000 0.0000 0.5000
Sm 0.5000 0.5000 0.0000
Sc 0.0000 0.0000 0.5000
Sc 0.0000 0.5000 0.0000
Sc 0.5000 0.0000 0.0000
Sc 0.5000 0.5000 0.5000
Cu 0.2500 0.2500 0.2500
Cu 0.2500 0.7500 0.7500
Cu 0.7500 0.2500 0.7500
Cu 0.7500 0.7500 0.2500
Ni 0.2500 0.2500 0.7500
Ni 0.2500 0.7500 0.2500
Ni 0.7500 0.2500 0.2500
Ni 0.7500 0.7500 0.7500

Values from the calculation:
Its uncorrected energy is -5.503 eV/atom. As for the density of states at the Fermi level: 2.47 states/eV/f.u. The calculation puts the size of the total moment at 0.0 μB per cell. The formation energy comes out at -0.27 eV/atom.